(1)
## SrPuN (PBE)

Data for a relaxed structure of SrPuN.

a = 4.5072 Å, b = 4.5072 Å, c = 9.4339 Å
α = 93.37°, β = 93.37°, γ = 86.43°
With the nearest neighbours (Å) after each atom.
Positions (direct):
Sr  0.2336  0.2336  0.3392  1 N 2.54
Sr  0.7664  0.7664  0.6608  1 N 2.54
Pu  0.2745  0.7255  0.0000  4 N 2.24-2.51
Pu  0.7255  0.2745  0.0000  4 N 2.24-2.51
N  0.2070  0.2070  0.0696  4 Pu 2.24-2.51
N  0.7930  0.7930  0.9304  4 Pu 2.24-2.51

- electronic total energy (eV/atom) = -8.6761

(2)
## SrPuN (PBE)

Data for a relaxed structure of SrPuN.

a = 3.6349 Å, b = 3.6349 Å, c = 6.5104 Å
α = 90.00°, β = 90.00°, γ = 120.00°
With the nearest neighbours (Å) after each atom.
Positions (direct):
Sr  0.0000  0.0000  0.0000  3 N 2.78
Pu  0.3333  0.6667  0.5606  3 N 2.34
N  0.6667  0.3333  0.7198  3 Pu 2.34

- electronic total energy (eV/atom) = -8.7004

(3)
## Sr2PuTa3N8 (PBE)

Data for a relaxed structure of Sr2PuTa3N8.

a = 7.2109 Å, b = 7.2109 Å, c = 7.2109 Å
α = 52.88°, β = 52.88°, γ = 52.88°
With the nearest neighbours (Å) after each atom.
Positions (direct):
Sr  0.0000  0.0000  0.0000  4 N 2.36-2.58
Sr  0.3485  0.3485  0.3485  6 N 2.58-2.75
Pu  0.8279  0.8279  0.8279  6 N 2.13-2.35
Ta  0.3515  0.3515  0.8479  6 N 2.09-2.16
Ta  0.3515  0.8479  0.3515  6 N 2.09-2.16
Ta  0.8479  0.3515  0.3515  6 N 2.09-2.16
N  0.0732  0.0732  0.5673  2 Ta 2.11, 1 Pu 2.35
N  0.0732  0.5673  0.0732  2 Ta 2.11, 1 Pu 2.35
N  0.1272  0.1272  0.1272  3 Ta 2.14, 1 Sr 2.36
N  0.1414  0.6072  0.6072  1 Pu 2.13, 2 Ta 2.16
N  0.5673  0.0732  0.0732  2 Ta 2.11, 1 Pu 2.35
N  0.5700  0.5700  0.5700  3 Ta 2.09
N  0.6072  0.1414  0.6072  1 Pu 2.13, 2 Ta 2.16
N  0.6072  0.6072  0.1414  1 Pu 2.13, 2 Ta 2.16

- electronic total energy (eV/atom) = -9.5461

(4)
## Sr2PuTaN4 (PBE)

Data for a relaxed structure of Sr2PuTaN4.

a = 5.9097 Å, b = 3.4010 Å, c = 6.2131 Å
α = 90.00°, β = 108.18°, γ = 90.00°
With the nearest neighbours (Å) after each atom.
Positions (direct):
Sr  0.0000  0.0000  0.0000  6 N 2.70-2.77
Sr  0.5000  0.5000  0.0000  6 N 2.59-2.62
Pu  0.0000  0.5000  0.5000  6 N 2.34-2.36
Ta  0.5000  0.0000  0.5000  6 N 2.15-2.25
N  0.2551  0.0000  0.6941  1 Ta 2.15, 2 Pu 2.34
N  0.2830  0.5000  0.3039  2 Ta 2.25, 1 Pu 2.36
N  0.7170  0.5000  0.6961  2 Ta 2.25, 1 Pu 2.36
N  0.7449  0.0000  0.3059  1 Ta 2.15, 2 Pu 2.34

- electronic total energy (eV/atom) = -8.9061

(5)
## Sr3Pu2TaN6 (PBE)

Data for a relaxed structure of Sr3Pu2TaN6.

a = 6.0009 Å, b = 6.0009 Å, c = 6.2382 Å
α = 99.20°, β = 99.20°, γ = 120.02°
With the nearest neighbours (Å) after each atom.
Positions (direct):
Sr  0.0000  0.0000  0.0000  6 N 2.64-2.78
Sr  0.3353  0.6647  0.0000  6 N 2.63-2.80
Sr  0.6647  0.3353  0.0000  6 N 2.63-2.80
Pu  0.1667  0.8333  0.5000  6 N 2.37
Pu  0.8333  0.1667  0.5000  6 N 2.37
Ta  0.5000  0.5000  0.5000  6 N 2.20
N  0.1227  0.4345  0.3042  1 Ta 2.20, 2 Pu 2.37
N  0.2536  0.2536  0.6966  1 Ta 2.20, 2 Pu 2.37
N  0.4345  0.1227  0.3042  1 Ta 2.20, 2 Pu 2.37
N  0.5655  0.8773  0.6958  1 Ta 2.20, 2 Pu 2.37
N  0.7464  0.7464  0.3034  1 Ta 2.20, 2 Pu 2.37
N  0.8773  0.5655  0.6958  1 Ta 2.20, 2 Pu 2.37

- electronic total energy (eV/atom) = -9.0277

(6)
## Sr3Tb2PuN6 (PBE)

Data for a relaxed structure of Sr3Tb2PuN6.

a = 6.1481 Å, b = 6.1481 Å, c = 6.3407 Å
α = 99.32°, β = 99.32°, γ = 120.01°
With the nearest neighbours (Å) after each atom.
Positions (direct):
Sr  0.0000  0.0000  0.0000  6 N 2.65-2.86
Sr  0.3327  0.6673  0.0000  6 N 2.65-2.83
Sr  0.6673  0.3327  0.0000  6 N 2.65-2.83
Tb  0.1669  0.8331  0.5000  6 N 2.46-2.47
Tb  0.8331  0.1669  0.5000  6 N 2.46-2.47
Pu  0.5000  0.5000  0.5000  6 N 2.23-2.25
N  0.1252  0.4316  0.2944  1 Pu 2.25, 2 Tb 2.46-2.47
N  0.2642  0.2642  0.7026  1 Pu 2.23, 2 Tb 2.47
N  0.4316  0.1252  0.2944  1 Pu 2.25, 2 Tb 2.46-2.47
N  0.5684  0.8748  0.7056  1 Pu 2.25, 2 Tb 2.46-2.47
N  0.7358  0.7358  0.2974  1 Pu 2.23, 2 Tb 2.47
N  0.8748  0.5684  0.7056  1 Pu 2.25, 2 Tb 2.46-2.47

- electronic total energy (eV/atom) = -7.6771

(7)
## SrPu2TcN4 (PBE)

Data for a relaxed structure of SrPu2TcN4.

a = 6.1650 Å, b = 6.1650 Å, c = 12.1287 Å
α = 90.00°, β = 90.00°, γ = 147.10°
With the nearest neighbours (Å) after each atom.
Positions (direct):
Sr  0.0779  0.9221  0.7500  2 N 2.70
Sr  0.9221  0.0779  0.2500  2 N 2.70
Pu  0.3687  0.6313  0.5475  6 N 2.27-2.49
Pu  0.3687  0.6313  0.9525  6 N 2.27-2.49
Pu  0.6313  0.3687  0.0475  6 N 2.27-2.49
Pu  0.6313  0.3687  0.4525  6 N 2.27-2.49
Tc  0.1838  0.8162  0.2500  4 N 1.98-2.03
Tc  0.8162  0.1838  0.7500  4 N 1.98-2.03
N  0.0000  0.0000  0.0000  4 Pu 2.41
N  0.0000  0.0000  0.5000  4 Pu 2.41
N  0.2508  0.7492  0.1007  1 Tc 1.98
N  0.2508  0.7492  0.3993  1 Tc 1.98
N  0.4043  0.5957  0.7500  2 Tc 2.03
N  0.5957  0.4043  0.2500  2 Tc 2.03
N  0.7492  0.2508  0.6007  1 Tc 1.98
N  0.7492  0.2508  0.8993  1 Tc 1.98

- electronic total energy (eV/atom) = -10.1152

(8)
## SrPuThN3 (PBE)

Data for a relaxed structure of SrPuThN3.

a = 7.5380 Å, b = 3.7040 Å, c = 8.7509 Å
α = 90.00°, β = 96.56°, γ = 90.00°
With the nearest neighbours (Å) after each atom.
Positions (direct):
Sr  0.1534  0.2500  0.1456  5 N 2.73-2.82
Sr  0.8466  0.7500  0.8544  5 N 2.73-2.82
Pu  0.0658  0.2500  0.5844  3 N 2.15-2.20
Pu  0.9342  0.7500  0.4156  3 N 2.15-2.20
Th  0.3763  0.7500  0.8385  6 N 2.37-2.65
Th  0.6237  0.2500  0.1615  6 N 2.37-2.65
N  0.1235  0.2500  0.8312  1 Pu 2.15
N  0.2228  0.7500  0.5814  2 Pu 2.20, 1 Th 2.41
N  0.4121  0.7500  0.1115  3 Th 2.37-2.45
N  0.5879  0.2500  0.8885  3 Th 2.37-2.45
N  0.7772  0.2500  0.4186  2 Pu 2.20, 1 Th 2.41
N  0.8765  0.7500  0.1688  1 Pu 2.15

- electronic total energy (eV/atom) = -9.0037

no.,raw formation energy (eV per atom)
1,-0.563
2,-0.587
3,-0.985
4,-1.050
5,-1.068
6,-1.128
7,-0.864
8,-0.935